No. 1
## YCoTe2 (PBE-GGA)

Data for a geometry-optimized YCoTe2 structure.

## Properties
Fermi-level density of states = 2.05 states/eV/f.u.
Space group = No. 71
E = -5.50 eV per atom
Formation energy (no corrections) = -51.3 kJ per mole of atoms

abc: 7.567 7.567 7.567
angles: 151.45 143.26 47.17
Atoms (fractional coordinates):
Co1 0.250 0.750 0.500
Te1 0.382 0.382 0.000
Te2 0.118 0.118 0.000
Y1 0.750 0.250 0.500

No. 2
## YCo2Te (PBE-GGA)

Data for a geometry-optimized YCo2Te structure.

## Properties
Fermi-level density of states = 7.81 states/eV/f.u.
Space group = No. 216
E = -5.74 eV per atom
Formation energy (no corrections) = 20.8 kJ per mole of atoms

abc: 4.732 4.732 4.732
angles: 60.00 60.00 60.00
Atoms (fractional coordinates):
Co1 0.250 0.250 0.250
Co2 0.000 0.000 0.000
Y1 0.750 0.750 0.750
Te1 0.500 0.500 0.500

No. 3
## YCoTe2 (PBE-GGA)

Data for a geometry-optimized YCoTe2 structure.

## Properties
Fermi-level density of states = 2.18 states/eV/f.u.
Space group = No. 65
E = -5.22 eV per atom
Formation energy (no corrections) = -24.4 kJ per mole of atoms

abc: 3.741 3.741 7.427
angles: 90.00 90.00 108.22
Atoms (fractional coordinates):
Y1 0.500 0.500 0.250
Te1 0.000 0.000 0.974
Te2 0.000 0.000 0.526
Co1 0.500 0.500 0.750